[1]
First-principles (GGA-PBE) data for an optimized crystal structure of KNa2SrAu, as listed in Alexandria via LeMat-Bulk.

Its formation energy from the elements is -0.82 eV/f.u. The density of states at the Fermi level is 3.1 states/eV per cell.

```
KNa2SrAu
1.0
5.963 0.000 0.000
0.000 5.963 0.000
0.000 0.000 6.047
K Na Sr Au
1 2 1 1
direct
0.000 0.000 0.000
0.000 0.500 0.500
0.500 0.000 0.500
0.500 0.500 0.000
0.500 0.500 0.500
```

=====

[2]
First-principles (GGA-PBE) data for an optimized crystal structure of KCa2SnI, as listed in Alexandria via LeMat-Bulk.

For the formation energy without anion corrections, the calculation gives -0.497 eV/atom. The density of states at the Fermi level is 0.0 states/eV per cell.

```
KCa2SnI
1.0
5.988 0.000 0.000
0.000 5.988 0.000
0.000 0.000 6.732
K Ca Sn I
1 2 1 1
direct
0.000 0.000 0.000
0.000 0.500 0.500
0.500 0.000 0.500
0.000 0.000 0.500
0.500 0.500 0.000
```

=====

[3]
First-principles (GGA-PBE) data for an optimized crystal structure of ThNiRhAu, as listed in Alexandria via LeMat-Bulk.

Its formation energy from the elements is -1.89 eV/f.u. The density of states at the Fermi level is 2.8 states/eV per cell.

```
ThNiRhAu
1.0
0.000 3.332 3.332
3.332 0.000 3.332
3.332 3.332 0.000
Th Ni Rh Au
1 1 1 1
direct
0.000 0.000 0.000
0.750 0.750 0.750
0.250 0.250 0.250
0.500 0.500 0.500
```

=====

[4]
First-principles (GGA-PBE) data for an optimized crystal structure of Th6As2SeS3, as listed in Alexandria via LeMat-Bulk.

For the formation energy without anion corrections, the calculation gives -1.648 eV/atom. The density of states at the Fermi level is 8.8 states/eV per cell.

```
Th6As2SeS3
1.0
9.032 -2.087 0.000
9.032 2.087 0.000
-1.897 0.000 7.995
Th As Se S
6 2 1 3
direct
0.003 0.003 0.240
0.329 0.329 0.423
0.335 0.335 0.911
0.665 0.665 0.089
0.671 0.671 0.577
0.997 0.997 0.760
0.166 0.166 0.832
0.834 0.834 0.168
0.500 0.500 0.500
0.167 0.167 0.333
0.500 0.500 0.000
0.833 0.833 0.667
```

=====

[5]
First-principles (GGA-PBE) data for an optimized crystal structure of CdAgSb, as listed in Alexandria via LeMat-Bulk.

For the formation energy without anion corrections, the calculation gives 0.099 eV/atom. The density of states at the Fermi level is 1.2 states/eV per cell.

```
CdAgSb
1.0
-1.651 2.230 4.665
1.651 -2.230 4.665
1.651 2.230 -4.665
Cd Ag Sb
1 1 1
direct
0.000 0.000 0.000
0.339 0.339 0.000
0.674 0.674 0.000
```

=====

[6]
First-principles (GGA-PBE) data for an optimized crystal structure of MoPCl4, as listed in Alexandria via LeMat-Bulk.

Its distance to the lowest polymorph of the same formula is 176.16 kJ/mol of atoms. For the formation energy without anion corrections, the calculation gives 1.309 eV/atom. The density of states at the Fermi level is 7.6 states/eV per cell.

```
MoPCl4
1.0
0.000 4.023 4.023
4.023 0.000 4.023
4.023 4.023 0.000
Mo P Cl
1 1 4
direct
0.000 0.000 0.000
0.750 0.750 0.750
0.375 0.375 0.375
0.375 0.375 0.876
0.375 0.876 0.375
0.876 0.375 0.375
```